Material: BeZnRh2
Method: DFT, PBE
State: relaxed

a = 3.9104 Å, b = 2.8111 Å, c = 4.8172 Å
α = 73.15°, β = 90.00°, γ = 90.00°
Positions (direct):
Rh 0.5000 0.2865 0.3017
Rh 0.0000 0.9739 0.9308
Zn 0.0000 0.7002 0.4754
Be 0.5000 0.5394 0.7921

Summary:
mass density: 9.2 Mg/m³
energy of formation from the pure elements: -27.6 kJ/mol of atoms
offset from the most stable computed form: 177 meV per atom
magnetization: 0.00 μB per cell